# Lu2CoOs (GGA-PBE, relaxed)
data_Lu2CoOs
_space_group_name_H-M_alt 'F -4 3 m'
_space_group_IT_number 216
_space_group_name_Hall 'F -4 2 3'
_cell_length_a 6.568
_cell_length_b 6.568
_cell_length_c 6.568
_cell_angle_alpha 90.00
_cell_angle_beta 90.00
_cell_angle_gamma 90.00
loop_
_atom_site_label
_atom_site_type_symbol
_atom_site_fract_x
_atom_site_fract_y
_atom_site_fract_z
Lu1 Lu 0.000 0.000 0.000
Lu2 Lu 0.250 0.250 0.250
Co1 Co 0.250 0.250 0.750
Os1 Os 0.000 0.000 0.500
# Energy of formation ... 0.172 eV/atom

=====

# LuCoOsPb (GGA-PBE, relaxed)
data_LuCoOsPb
_space_group_name_H-M_alt 'F -4 3 m'
_space_group_IT_number 216
_space_group_name_Hall 'F -4 2 3'
_cell_length_a 6.659
_cell_length_b 6.659
_cell_length_c 6.659
_cell_angle_alpha 90.00
_cell_angle_beta 90.00
_cell_angle_gamma 90.00
loop_
_atom_site_label
_atom_site_type_symbol
_atom_site_fract_x
_atom_site_fract_y
_atom_site_fract_z
Lu1 Lu 0.000 0.000 0.000
Co1 Co 0.000 0.000 0.500
Os1 Os 0.250 0.250 0.750
Pb1 Pb 0.250 0.250 0.250
# Energy above the lowest structure with this stoichiometry ... 342.1 meV per atom